First-principles (PBE-GGA) data for crystalline Ba2MgCoW at its relaxed geometry, as listed in Alexandria.

Lattice parameters (Å, degrees): 6.3346 6.3346 5.0681 90.00 90.00 90.00
Atoms (fractional coordinates):
Ba  0.0000  0.5000  0.0000
Ba  0.5000  0.0000  0.0000
Mg  0.0000  0.0000  0.0000
Co  0.5000  0.5000  0.5000
W  0.0000  0.0000  0.5000

DOS at the Fermi energy   7.7 states/eV per cell
Electronic total energy   -16.20 eV for the cell shown
E_form   1859 meV per atom
Theoretical density   4.4 Mg/m³

=====

First-principles (PBE-GGA) data for crystalline BaYMg2Co at its relaxed geometry, as listed in Alexandria.

Lattice parameters (Å, degrees): 5.2650 5.2650 5.0181 90.00 90.00 90.00
Atoms (fractional coordinates):
Ba  0.0000  0.0000  0.0000
Y  0.5000  0.5000  0.0000
Mg  0.0000  0.5000  0.5000
Mg  0.5000  0.0000  0.5000
Co  0.5000  0.5000  0.5000

DOS at the Fermi energy   3.4 states/eV per cell
Electronic total energy   -18.68 eV for the cell shown
E_form   0 meV per atom
Theoretical density   4.0 Mg/m³

=====

First-principles (PBE-GGA) data for crystalline BaMg2ZnCo at its relaxed geometry, as listed in Alexandria.

Lattice parameters (Å, degrees): 4.9749 4.9749 4.9259 90.00 90.00 90.00
Atoms (fractional coordinates):
Ba  0.0000  0.0000  0.0000
Mg  0.0000  0.5000  0.5000
Mg  0.5000  0.0000  0.5000
Zn  0.5000  0.5000  0.0000
Co  0.5000  0.5000  0.5000

DOS at the Fermi energy   3.0 states/eV per cell
Electronic total energy   -13.39 eV for the cell shown
E_form   19 meV per atom
Theoretical density   4.2 Mg/m³

=====

First-principles (PBE-GGA) data for crystalline BaMnCo at its relaxed geometry, as listed in Alexandria.

Lattice parameters (Å, degrees): 6.4070 5.2354 6.3790 66.11 48.34 65.55
Atoms (fractional coordinates):
Ba  0.1899  0.8101  0.1899
Ba  0.8101  0.1899  0.8101
Mn  0.2160  0.4909  0.7840
Mn  0.4909  0.2160  0.5091
Co  0.4956  0.7951  0.5044
Co  0.7951  0.4956  0.2049

DOS at the Fermi energy   6.3 states/eV per cell
Electronic total energy   -33.45 eV for the cell shown
E_form   491 meV per atom
Theoretical density   5.8 Mg/m³

=====

First-principles (PBE-GGA) data for crystalline BaMnCo at its relaxed geometry, as listed in Alexandria.

Lattice parameters (Å, degrees): 3.8184 3.8184 10.5402 90.00 90.00 120.00
Atoms (fractional coordinates):
Ba  0.0000  0.0000  0.0000
Ba  0.0000  0.0000  0.5000
Mn  0.3333  0.6667  0.2500
Mn  0.6667  0.3333  0.7500
Co  0.3333  0.6667  0.7500
Co  0.6667  0.3333  0.2500

DOS at the Fermi energy   7.0 states/eV per cell
Electronic total energy   -32.53 eV for the cell shown
E_form   645 meV per atom
Theoretical density   6.3 Mg/m³

=====

First-principles (PBE-GGA) data for crystalline BaMnCo at its relaxed geometry, as listed in Alexandria.

Lattice parameters (Å, degrees): 4.1248 4.6584 9.1336 89.99 89.88 89.94
Atoms (fractional coordinates):
Ba  0.0000  0.0000  0.0000
Ba  0.4971  0.4990  0.5757
Mn  0.9978  0.9979  0.3669
Mn  0.9985  0.4982  0.2762
Co  0.4987  0.2385  0.2519
Co  0.4985  0.7581  0.2513

DOS at the Fermi energy   5.8 states/eV per cell
Electronic total energy   -34.62 eV for the cell shown
E_form   296 meV per atom
Theoretical density   4.8 Mg/m³

=====

First-principles (PBE-GGA) data for crystalline BaMnCo at its relaxed geometry, as listed in Alexandria.

Lattice parameters (Å, degrees): 5.1135 5.1135 5.1135 60.00 60.00 60.00
Atoms (fractional coordinates):
Ba  0.0000  0.0000  0.0000
Mn  0.7500  0.7500  0.7500
Co  0.2500  0.2500  0.2500

DOS at the Fermi energy   8.9 states/eV per cell
Electronic total energy   -13.42 eV for the cell shown
E_form   1593 meV per atom
Theoretical density   4.4 Mg/m³

=====

First-principles (PBE-GGA) data for crystalline BaMnCo at its relaxed geometry, as listed in Alexandria.

Lattice parameters (Å, degrees): 4.7819 4.7819 4.7819 60.00 60.00 60.00
Atoms (fractional coordinates):
Ba  0.0000  0.0000  0.0000
Mn  0.5000  0.5000  0.5000
Co  0.2500  0.2500  0.2500

DOS at the Fermi energy   4.2 states/eV per cell
Electronic total energy   -15.56 eV for the cell shown
E_form   880 meV per atom
Theoretical density   5.4 Mg/m³

=====

First-principles (PBE-GGA) data for crystalline Ba3MnCo at its relaxed geometry, as listed in Alexandria.

Lattice parameters (Å, degrees): 5.8804 5.8804 5.8804 90.00 90.00 90.00
Atoms (fractional coordinates):
Ba  0.0000  0.0000  0.5000
Ba  0.0000  0.5000  0.0000
Ba  0.5000  0.0000  0.0000
Mn  0.5000  0.5000  0.5000
Co  0.0000  0.0000  0.0000

DOS at the Fermi energy   7.2 states/eV per cell
Electronic total energy   -19.04 eV for the cell shown
E_form   601 meV per atom
Theoretical density   4.3 Mg/m³

=====

First-principles (PBE-GGA) data for crystalline BaMn2Co at its relaxed geometry, as listed in Alexandria.

Lattice parameters (Å, degrees): 5.0427 5.0427 5.0427 126.15 126.15 79.63
Atoms (fractional coordinates):
Ba  0.0000  0.0000  0.0000
Mn  0.5000  0.5000  0.0000
Mn  0.7500  0.2500  0.5000
Co  0.2500  0.7500  0.5000

DOS at the Fermi energy   4.0 states/eV per cell
Electronic total energy   -23.46 eV for the cell shown
E_form   977 meV per atom
Theoretical density   6.3 Mg/m³

=====

First-principles (PBE-GGA) data for crystalline BaMnCo at its relaxed geometry, as listed in Alexandria.

Lattice parameters (Å, degrees): 3.8967 3.8976 10.9363 79.75 79.89 60.02
Atoms (fractional coordinates):
Ba  0.2353  0.2335  0.3006
Ba  0.7647  0.7665  0.6994
Mn  0.3350  0.3349  0.9950
Mn  0.6650  0.6651  0.0050
Co  0.0356  0.0367  0.8904
Co  0.9644  0.9633  0.1096

DOS at the Fermi energy   7.0 states/eV per cell
Electronic total energy   -34.17 eV for the cell shown
E_form   370 meV per atom
Theoretical density   5.9 Mg/m³

=====

First-principles (PBE-GGA) data for crystalline BaMnCo at its relaxed geometry, as listed in Alexandria.

Lattice parameters (Å, degrees): 3.8871 3.8876 10.9622 99.69 90.34 119.98
Atoms (fractional coordinates):
Ba  0.0000  0.0000  0.0000
Ba  0.2054  0.3889  0.6047
Mn  0.1030  0.1941  0.3023
Mn  0.7696  0.5274  0.3023
Co  0.3991  0.7902  0.1924
Co  0.4734  0.9313  0.4122

DOS at the Fermi energy   9.1 states/eV per cell
Electronic total energy   -34.13 eV for the cell shown
E_form   377 meV per atom
Theoretical density   5.9 Mg/m³